This record from the Alexandria database describes a relaxed structure of Tl2MoRuPb. The functional is GGA-PBE.

- Calculated total energy: -4.767 eV per atom
- ΔH_f (0 K): 943 meV per atom
- Density of states at the Fermi level: 5.08 states/eV/cell

a = 5.441 Å, b = 5.441 Å, c = 4.652 Å
α = 90.00°, β = 90.00°, γ = 90.00°
Space group P4/mmm (No. 123)
Symmetry-distinct sites (fractional):
Tl 0.000 0.500 0.000 x2
Mo 0.000 0.000 0.000 x1
Ru 0.000 0.000 0.500 x1
Pb 0.500 0.500 0.500 x1

This record from the Alexandria database describes a relaxed structure of SeI4. The functional is GGA-PBE.

- Calculated total energy: -1.632 eV per atom
- Formation energy (no corrections): 1.5 eV per formula unit
- Density of states at the Fermi level: 7.06 states/eV/cell

a = 5.765 Å, b = 5.765 Å, c = 5.765 Å
α = 90.00°, β = 90.00°, γ = 90.00°
Space group Pm-3m (No. 221)
Symmetry-distinct sites (fractional):
Se 0.000 0.000 0.000 x1
I 0.000 0.000 0.500 x3
I 0.500 0.500 0.500 x1